1.
Computed, not measured: Y3Tm3Pt2 after structural relaxation at the PBE level of DFT.

Unit cell a=3.892 b=6.688 c=17.407 alpha=90.00 beta=90.00 gamma=106.92
Fractional positions:
1 Pt 0.738 0.476 0.624
2 Pt 0.262 0.524 0.376
3 Pt 0.738 0.476 0.876
4 Pt 0.262 0.524 0.124
5 Tm 0.607 0.215 0.750
6 Tm 0.393 0.785 0.250
7 Tm 0.657 0.315 0.043
8 Tm 0.657 0.315 0.457
9 Tm 0.343 0.685 0.543
10 Tm 0.343 0.685 0.957
11 Y 0.338 0.677 0.750
12 Y 0.662 0.323 0.250
13 Y 0.951 0.901 0.102
14 Y 0.049 0.099 0.898
15 Y 0.049 0.099 0.602
16 Y 0.951 0.901 0.398

Values from the calculation:
Space-group type ... Cmcm
V ... 433.5 Å³ per cell
Formation energy from the elements ... -619 meV/atom
Total magnetic moment ... 0.0 μB/f.u.



2.
Computed, not measured: YTm3Pt12 after structural relaxation at the PBE level of DFT.

Unit cell a=4.106 b=4.106 c=16.357 alpha=90.00 beta=90.00 gamma=90.00
Fractional positions:
1 Tm 0.000 0.000 0.500
2 Tm 0.000 0.000 0.749
3 Tm 0.000 0.000 0.251
4 Pt 0.500 0.500 0.000
5 Pt 0.500 0.000 0.873
6 Pt 0.500 0.000 0.127
7 Pt 0.000 0.500 0.127
8 Pt 0.000 0.500 0.873
9 Pt 0.000 0.500 0.376
10 Pt 0.500 0.000 0.376
11 Pt 0.500 0.000 0.624
12 Pt 0.500 0.500 0.500
13 Pt 0.000 0.500 0.624
14 Pt 0.500 0.500 0.251
15 Pt 0.500 0.500 0.749
16 Y 0.000 0.000 0.000

Values from the calculation:
Space-group type ... P4/mmm
V ... 275.8 Å³ per cell
Formation energy from the elements ... -1064 meV/atom
Total magnetic moment ... 0.0 μB/f.u.



3.
Computed, not measured: Y2TmPt after structural relaxation at the PBE level of DFT.

Unit cell a=3.743 b=6.364 c=9.559 alpha=90.00 beta=90.00 gamma=107.11
Fractional positions:
1 Y 0.864 0.729 0.935
2 Y 0.136 0.271 0.435
3 Y 0.136 0.271 0.065
4 Y 0.864 0.729 0.565
5 Pt 0.254 0.508 0.750
6 Pt 0.746 0.492 0.250
7 Tm 0.576 0.151 0.750
8 Tm 0.424 0.849 0.250

Values from the calculation:
Space-group type ... Cmcm
V ... 217.6 Å³ per cell
Formation energy from the elements ... -677 meV/atom
Total magnetic moment ... 0.0 μB/f.u.
ΔE to the lowest computed polymorph ... 45 meV/atom



4.
Computed, not measured: YTm2Pt after structural relaxation at the PBE level of DFT.

Unit cell a=3.531 b=3.531 c=8.366 alpha=90.00 beta=90.00 gamma=90.00
Fractional positions:
1 Tm 0.000 0.000 0.194
2 Tm 0.000 0.000 0.806
3 Pt 0.500 0.500 0.000
4 Y 0.500 0.500 0.500

Values from the calculation:
Space-group type ... P4/mmm
V ... 104.3 Å³ per cell
Formation energy from the elements ... -626 meV/atom
Total magnetic moment ... 0.0 μB/f.u.
ΔE to the lowest computed polymorph ... 114 meV/atom



5.
Computed, not measured: Y3TmPt after structural relaxation at the PBE level of DFT.

Unit cell a=5.127 b=6.376 c=8.786 alpha=97.16 beta=90.00 gamma=90.00
Fractional positions:
1 Y 0.376 0.892 0.394
2 Y 0.876 0.460 0.508
3 Y 0.376 0.856 0.971
4 Y 0.376 0.402 0.190
5 Y 0.876 0.497 0.931
6 Y 0.876 0.951 0.711
7 Pt 0.376 0.705 0.662
8 Pt 0.876 0.648 0.240
9 Tm 0.376 0.291 0.736
10 Tm 0.876 0.062 0.165

Values from the calculation:
Space-group type ... P2_1/m
V ... 285.0 Å³ per cell
Formation energy from the elements ... -476 meV/atom
Total magnetic moment ... 0.0 μB/f.u.



6.
Computed, not measured: YTmPt after structural relaxation at the PBE level of DFT.

Unit cell a=3.593 b=5.122 c=8.144 alpha=90.00 beta=102.74 gamma=90.00
Fractional positions:
1 Pt 0.578 0.250 0.155
2 Pt 0.422 0.750 0.845
3 Tm 0.217 0.250 0.434
4 Tm 0.783 0.750 0.566
5 Y 0.074 0.750 0.148
6 Y 0.926 0.250 0.852

Values from the calculation:
Space-group type ... Cmcm
V ... 146.2 Å³ per cell
Formation energy from the elements ... -832 meV/atom
Total magnetic moment ... 0.0 μB/f.u.
ΔE to the lowest computed polymorph ... 56 meV/atom



7.
Computed, not measured: Y2TmPt2 after structural relaxation at the PBE level of DFT.

Unit cell a=4.069 b=7.631 c=7.631 alpha=90.00 beta=90.00 gamma=90.00
Fractional positions:
1 Tm 0.000 0.000 0.000
2 Tm 0.000 0.500 0.500
3 Pt 0.000 0.860 0.640
4 Pt 0.000 0.140 0.360
5 Pt 0.000 0.640 0.140
6 Pt 0.000 0.360 0.860
7 Y 0.500 0.162 0.662
8 Y 0.500 0.662 0.838
9 Y 0.500 0.338 0.162
10 Y 0.500 0.838 0.338

Values from the calculation:
Space-group type ... P4/mbm
V ... 237.0 Å³ per cell
Formation energy from the elements ... -1079 meV/atom
Total magnetic moment ... 0.0 μB/f.u.



8.
Computed, not measured: YTmPt after structural relaxation at the PBE level of DFT.

Unit cell a=4.834 b=4.834 c=4.834 alpha=60.00 beta=60.00 gamma=60.00
Fractional positions:
1 Y 0.000 0.000 0.000
2 Pt 0.250 0.250 0.250
3 Tm 0.500 0.500 0.500

Values from the calculation:
Space-group type ... F-43m
V ... 79.9 Å³ per cell
Formation energy from the elements ... -888 meV/atom
Total magnetic moment ... 0.0 μB/f.u.
ΔE to the lowest computed polymorph ... 0 meV/atom